No. 1
Below is a geometry-optimized Ce5Sb5Pt structure, with properties calculated at the PBE level.

Lattice parameters (Å, degrees): 6.2368 7.6900 8.7473 107.36 90.00 113.92
Closest atoms and distances in Å follow each position.
Positions (direct):
Ce (0.8451, 0.6902, 0.1584)  1 Pt 2.94, 5 Sb 3.07-3.19
Ce (0.8424, 0.6847, 0.6809)  1 Pt 2.94, 5 Sb 3.12-3.16
Ce (0.5000, 0.0000, 0.0000)  2 Pt 3.12, 4 Sb 3.15-3.18
Ce (0.1577, 0.3153, 0.3191)  1 Pt 2.94, 5 Sb 3.12-3.16
Ce (0.1549, 0.3098, 0.8416)  1 Pt 2.94, 5 Sb 3.07-3.19
Sb (0.6805, 0.3609, 0.3339)  5 Ce 3.13-3.18
Sb (0.6632, 0.3265, 0.8249)  5 Ce 3.13-3.19
Sb (0.0000, 0.0000, 0.5000)  4 Ce 3.07-3.12
Sb (0.3368, 0.6735, 0.1751)  5 Ce 3.13-3.19
Sb (0.3195, 0.6391, 0.6661)  5 Ce 3.13-3.18
Pt (0.0000, 0.0000, 0.0000)  6 Ce 2.94-3.12

total energy: -0.2155 hartree per atom

***

No. 2
Below is a geometry-optimized Ce8Sb2Pt structure, with properties calculated at the PBE level.

Lattice parameters (Å, degrees): 5.5505 6.5535 9.7343 114.46 106.56 90.00
Closest atoms and distances in Å follow each position.
Positions (direct):
Ce (0.3884, 0.5295, 0.7768)  2 Ce 2.75-2.78, 1 Pt 2.88
Ce (0.6350, 0.9152, 0.2700)  1 Ce 2.75, 1 Pt 2.80
Ce (0.7763, 0.6967, 0.5526)  1 Ce 2.78
Ce (0.0002, 0.2412, 0.0003)  4 Ce 3.16-3.40, 2 Pt 3.19, 2 Sb 3.38-3.47
Ce (0.2237, 0.3033, 0.4474)  1 Ce 2.78
Ce (0.3650, 0.0848, 0.7300)  1 Ce 2.75, 1 Pt 2.80
Ce (0.6116, 0.4705, 0.2232)  2 Ce 2.75-2.78, 1 Pt 2.88
Ce (0.9998, 0.7588, 0.9997)  4 Ce 3.16-3.40, 2 Pt 3.19, 2 Sb 3.38-3.47
Sb (0.8235, 0.2684, 0.6470)  11 Ce 3.21-3.47
Sb (0.1765, 0.7316, 0.3530)  11 Ce 3.21-3.47
Pt (0.5000, 0.0000, 0.0000)  4 Ce 2.80-2.88

total energy: -0.2239 hartree per atom

***

No. 3
Below is a geometry-optimized Ce6SbPt structure, with properties calculated at the PBE level.

Lattice parameters (Å, degrees): 6.3945 7.1923 6.5821 56.88 73.00 57.64
Closest atoms and distances in Å follow each position.
Positions (direct):
Ce (0.7319, 0.5402, 0.5318)  3 Ce 2.78-3.09, 1 Pt 2.93
Ce (0.7319, 0.0720, 0.4682)  3 Ce 2.78-3.09, 1 Pt 2.93
Ce (0.2681, 0.9280, 0.5318)  3 Ce 2.78-3.09, 1 Pt 2.93
Ce (0.2681, 0.4598, 0.4682)  3 Ce 2.78-3.09, 1 Pt 2.93
Ce (0.6664, 0.7802, 0.0000)  3 Ce 2.71-2.98, 1 Pt 2.74
Ce (0.3336, 0.2198, 0.0000)  3 Ce 2.71-2.98, 1 Pt 2.74
Sb (0.0000, 0.0000, 0.0000)  6 Ce 3.23-3.27, 2 Pt 3.29
Pt (0.5000, 0.5000, 0.0000)  6 Ce 2.74-2.93

total energy: -0.2182 hartree per atom

***

No. 4
Below is a geometry-optimized Ce5Sb3Pt12 structure, with properties calculated at the PBE level.

Lattice parameters (Å, degrees): 13.7663 13.7663 13.7663 109.47 109.47 109.47
Closest atoms and distances in Å follow each position.
Positions (direct):
Sb (0.7500, 0.3750, 0.1250)  8 Pt 2.70-2.95
Sb (0.8750, 0.7500, 0.1250)  8 Pt 2.70-2.95
Sb (0.3750, 0.7500, 0.6250)  8 Pt 2.70-2.95
Sb (0.2500, 0.1250, 0.3750)  8 Pt 2.70-2.95
Sb (0.8750, 0.1250, 0.2500)  8 Pt 2.70-2.95
Sb (0.3750, 0.6250, 0.2500)  8 Pt 2.70-2.95
Sb (0.6250, 0.3750, 0.7500)  8 Pt 2.70-2.95
Sb (0.1250, 0.8750, 0.7500)  8 Pt 2.70-2.95
Sb (0.7500, 0.8750, 0.6250)  8 Pt 2.70-2.95
Sb (0.6250, 0.2500, 0.3750)  8 Pt 2.70-2.95
Sb (0.1250, 0.2500, 0.8750)  8 Pt 2.70-2.95
Sb (0.2500, 0.6250, 0.8750)  8 Pt 2.70-2.95
Ce (0.1250, 0.3750, 0.2500)  4 Pt 2.73
Ce (0.0000, 0.5000, 0.0000)  6 Pt 2.76
Ce (0.0000, 0.0000, 0.0000)  6 Pt 2.76
Ce (0.3750, 0.2500, 0.1250)  4 Pt 2.73
Ce (0.5000, 0.0000, 0.5000)  6 Pt 2.76
Ce (0.5000, 0.5000, 0.0000)  6 Pt 2.76
Ce (0.1250, 0.7500, 0.3750)  4 Pt 2.73
Ce (0.7500, 0.1250, 0.8750)  4 Pt 2.73
Ce (0.7500, 0.6250, 0.3750)  4 Pt 2.73
Ce (0.3750, 0.1250, 0.7500)  4 Pt 2.73
Ce (0.6250, 0.8750, 0.2500)  4 Pt 2.73
Ce (0.5000, 0.5000, 0.5000)  6 Pt 2.76
Ce (0.5000, 0.0000, 0.0000)  6 Pt 2.76
Ce (0.0000, 0.0000, 0.5000)  6 Pt 2.76
Ce (0.2500, 0.3750, 0.6250)  4 Pt 2.73
Ce (0.2500, 0.8750, 0.1250)  4 Pt 2.73
Ce (0.0000, 0.5000, 0.5000)  6 Pt 2.76
Ce (0.8750, 0.2500, 0.6250)  4 Pt 2.73
Ce (0.6250, 0.7500, 0.8750)  4 Pt 2.73
Ce (0.8750, 0.6250, 0.7500)  4 Pt 2.73
Pt (0.7350, 0.1426, 0.0726)  2 Sb 2.70-2.95, 2 Ce 2.73-2.76, 1 Pt 2.77
Pt (0.3376, 0.5726, 0.4301)  2 Sb 2.70-2.95, 2 Ce 2.73-2.76, 1 Pt 2.77
Pt (0.9274, 0.3574, 0.2650)  2 Sb 2.70-2.95, 2 Ce 2.73-2.76, 1 Pt 2.77
Pt (0.5726, 0.2350, 0.1426)  2 Sb 2.70-2.95, 2 Ce 2.73-2.76, 1 Pt 2.77
Pt (0.5925, 0.7350, 0.6624)  2 Sb 2.70-2.95, 2 Ce 2.73-2.76, 1 Pt 2.77
Pt (0.9274, 0.5699, 0.1624)  2 Sb 2.70-2.95, 2 Ce 2.73-2.76, 1 Pt 2.77
Pt (0.3376, 0.7650, 0.4075)  2 Sb 2.70-2.95, 2 Ce 2.73-2.76, 1 Pt 2.77
Pt (0.0699, 0.9075, 0.1426)  2 Sb 2.70-2.95, 2 Ce 2.73-2.76, 1 Pt 2.77
Pt (0.5699, 0.9274, 0.6624)  2 Sb 2.70-2.95, 2 Ce 2.73-2.76, 1 Pt 2.77
Pt (0.7350, 0.5925, 0.1624)  2 Sb 2.70-2.95, 2 Ce 2.73-2.76, 1 Pt 2.77
Pt (0.7650, 0.4274, 0.3574)  2 Sb 2.70-2.95, 2 Ce 2.73-2.76, 1 Pt 2.77
Pt (0.8376, 0.9301, 0.0726)  2 Sb 2.70-2.95, 2 Ce 2.73-2.76, 1 Pt 2.77
Pt (0.1426, 0.7350, 0.5726)  2 Sb 2.70-2.95, 2 Ce 2.73-2.76, 1 Pt 2.77
Pt (0.3574, 0.4301, 0.0925)  2 Sb 2.70-2.95, 2 Ce 2.73-2.76, 1 Pt 2.77
Pt (0.0925, 0.9301, 0.3574)  2 Sb 2.70-2.95, 2 Ce 2.73-2.76, 1 Pt 2.77
Pt (0.4075, 0.1426, 0.5699)  2 Sb 2.70-2.95, 2 Ce 2.73-2.76, 1 Pt 2.77
Pt (0.0925, 0.1624, 0.2350)  2 Sb 2.70-2.95, 2 Ce 2.73-2.76, 1 Pt 2.77
Pt (0.4274, 0.6624, 0.0699)  2 Sb 2.70-2.95, 2 Ce 2.73-2.76, 1 Pt 2.77
Pt (0.8376, 0.9075, 0.2650)  2 Sb 2.70-2.95, 2 Ce 2.73-2.76, 1 Pt 2.77
Pt (0.1426, 0.4075, 0.0699)  2 Sb 2.70-2.95, 2 Ce 2.73-2.76, 1 Pt 2.77
Pt (0.3574, 0.9274, 0.7650)  2 Sb 2.70-2.95, 2 Ce 2.73-2.76, 1 Pt 2.77
Pt (0.5699, 0.6426, 0.4075)  2 Sb 2.70-2.95, 2 Ce 2.73-2.76, 1 Pt 2.77
Pt (0.9301, 0.8376, 0.5726)  2 Sb 2.70-2.95, 2 Ce 2.73-2.76, 1 Pt 2.77
Pt (0.7650, 0.3376, 0.9075)  2 Sb 2.70-2.95, 2 Ce 2.73-2.76, 1 Pt 2.77
Pt (0.4301, 0.3574, 0.5925)  2 Sb 2.70-2.95, 2 Ce 2.73-2.76, 1 Pt 2.77
Pt (0.0699, 0.1624, 0.4274)  2 Sb 2.70-2.95, 2 Ce 2.73-2.76, 1 Pt 2.77
Pt (0.2350, 0.6624, 0.0925)  2 Sb 2.70-2.95, 2 Ce 2.73-2.76, 1 Pt 2.77
Pt (0.1624, 0.0925, 0.7350)  2 Sb 2.70-2.95, 2 Ce 2.73-2.76, 1 Pt 2.77
Pt (0.6426, 0.0726, 0.2350)  2 Sb 2.70-2.95, 2 Ce 2.73-2.76, 1 Pt 2.77
Pt (0.8574, 0.5925, 0.9301)  2 Sb 2.70-2.95, 2 Ce 2.73-2.76, 1 Pt 2.77
Pt (0.5726, 0.3376, 0.9301)  2 Sb 2.70-2.95, 2 Ce 2.73-2.76, 1 Pt 2.77
Pt (0.5925, 0.8574, 0.4301)  2 Sb 2.70-2.95, 2 Ce 2.73-2.76, 1 Pt 2.77
Pt (0.9075, 0.8376, 0.7650)  2 Sb 2.70-2.95, 2 Ce 2.73-2.76, 1 Pt 2.77
Pt (0.9075, 0.0699, 0.6426)  2 Sb 2.70-2.95, 2 Ce 2.73-2.76, 1 Pt 2.77
Pt (0.8574, 0.2650, 0.4274)  2 Sb 2.70-2.95, 2 Ce 2.73-2.76, 1 Pt 2.77
Pt (0.1624, 0.0699, 0.9274)  2 Sb 2.70-2.95, 2 Ce 2.73-2.76, 1 Pt 2.77
Pt (0.6426, 0.5699, 0.9075)  2 Sb 2.70-2.95, 2 Ce 2.73-2.76, 1 Pt 2.77
Pt (0.4301, 0.0726, 0.3376)  2 Sb 2.70-2.95, 2 Ce 2.73-2.76, 1 Pt 2.77
Pt (0.2650, 0.4075, 0.8376)  2 Sb 2.70-2.95, 2 Ce 2.73-2.76, 1 Pt 2.77
Pt (0.2350, 0.5726, 0.6426)  2 Sb 2.70-2.95, 2 Ce 2.73-2.76, 1 Pt 2.77
Pt (0.9301, 0.0925, 0.8574)  2 Sb 2.70-2.95, 2 Ce 2.73-2.76, 1 Pt 2.77
Pt (0.6624, 0.2350, 0.5925)  2 Sb 2.70-2.95, 2 Ce 2.73-2.76, 1 Pt 2.77
Pt (0.4274, 0.7650, 0.8574)  2 Sb 2.70-2.95, 2 Ce 2.73-2.76, 1 Pt 2.77
Pt (0.0726, 0.4301, 0.8376)  2 Sb 2.70-2.95, 2 Ce 2.73-2.76, 1 Pt 2.77
Pt (0.4075, 0.2650, 0.3376)  2 Sb 2.70-2.95, 2 Ce 2.73-2.76, 1 Pt 2.77
Pt (0.0726, 0.6426, 0.7350)  2 Sb 2.70-2.95, 2 Ce 2.73-2.76, 1 Pt 2.77
Pt (0.6624, 0.4274, 0.5699)  2 Sb 2.70-2.95, 2 Ce 2.73-2.76, 1 Pt 2.77
Pt (0.2650, 0.8574, 0.9274)  2 Sb 2.70-2.95, 2 Ce 2.73-2.76, 1 Pt 2.77

total energy: -0.2248 hartree per atom

***

No. 5
Below is a geometry-optimized CeSb3Pt structure, with properties calculated at the PBE level.

Lattice parameters (Å, degrees): 6.2090 6.3168 12.7585 90.00 90.00 90.00
Closest atoms and distances in Å follow each position.
Positions (direct):
Ce (0.7500, 0.4984, 0.6926)  9 Sb 3.18-3.32, 2 Pt 3.48
Ce (0.2500, 0.5016, 0.3074)  9 Sb 3.18-3.32, 2 Pt 3.48
Ce (0.7500, 0.9984, 0.3074)  9 Sb 3.18-3.32, 2 Pt 3.48
Ce (0.2500, 0.0016, 0.6926)  9 Sb 3.18-3.32, 2 Pt 3.48
Sb (0.0000, 0.2500, 0.4987)  4 Sb 3.10-3.16, 4 Ce 3.30-3.32
Sb (0.5000, 0.7500, 0.5013)  4 Sb 3.10-3.16, 4 Ce 3.30-3.32
Sb (0.0000, 0.7500, 0.5013)  4 Sb 3.10-3.16, 4 Ce 3.30-3.32
Sb (0.5000, 0.2500, 0.4987)  4 Sb 3.10-3.16, 4 Ce 3.30-3.32
Sb (0.2500, 0.1116, 0.9355)  4 Pt 2.72-2.79
Sb (0.7500, 0.8884, 0.0645)  4 Pt 2.72-2.79
Sb (0.2500, 0.6116, 0.0645)  4 Pt 2.72-2.79
Sb (0.7500, 0.3884, 0.9355)  4 Pt 2.72-2.79
Sb (0.2500, 0.5064, 0.7572)  2 Pt 2.87, 2 Ce 3.21
Sb (0.7500, 0.4936, 0.2428)  2 Pt 2.87, 2 Ce 3.21
Sb (0.2500, 0.0064, 0.2428)  2 Pt 2.87, 2 Ce 3.21
Sb (0.7500, 0.9936, 0.7572)  2 Pt 2.87, 2 Ce 3.21
Pt (0.5000, 0.2500, 0.0970)  6 Sb 2.72-2.87
Pt (0.0000, 0.7500, 0.9030)  6 Sb 2.72-2.87
Pt (0.5000, 0.7500, 0.9030)  6 Sb 2.72-2.87
Pt (0.0000, 0.2500, 0.0970)  6 Sb 2.72-2.87

total energy: -0.2028 hartree per atom

***

No. 6
Below is a geometry-optimized Ce7SbPt2 structure, with properties calculated at the PBE level.

Lattice parameters (Å, degrees): 5.2735 8.0870 8.0870 109.55 90.00 90.00
Closest atoms and distances in Å follow each position.
Positions (direct):
Ce (0.0000, 0.7360, 0.2640)  2 Pt 2.65
Ce (0.0000, 0.2640, 0.7360)  2 Pt 2.65
Ce (0.5000, 0.0877, 0.2960)  1 Ce 2.75, 1 Pt 2.99
Ce (0.5000, 0.9123, 0.7040)  1 Ce 2.75, 1 Pt 2.99
Ce (0.5000, 0.2960, 0.0877)  1 Ce 2.75, 1 Pt 2.99
Ce (0.5000, 0.7040, 0.9123)  1 Ce 2.75, 1 Pt 2.99
Ce (0.5000, 0.5000, 0.5000)  2 Pt 2.83
Sb (0.0000, 0.0000, 0.0000)  10 Ce 3.47-3.49
Pt (0.5000, 0.7141, 0.2859)  3 Ce 2.65-2.83
Pt (0.5000, 0.2859, 0.7141)  3 Ce 2.65-2.83

total energy: -0.2241 hartree per atom

***

| no. | M_tot (μB/f.u.) | D(E_F) (states/eV/f.u.) |
| --- | --- | --- |
| 1 | 3.1 | 18.3 |
| 2 | 6.2 | 34.9 |
| 3 | 1.8 | 22.0 |
| 4 | 1.0 | 15.9 |
| 5 | 0.5 | 4.9 |
| 6 | 6.0 | 34.6 |